[1]
Density functional theory data (GGA-PBE) for KIr2Pb after structural relaxation.

Results
Formation enthalpy at 0 K   0.61 eV/atom
Crystal system   orthorhombic

Lattice parameters (Å, degrees): 6.447 6.447 6.447 154.15 129.94 57.18
Fractional coordinates of all 4 atoms:
Ir1 0.201 0.701 0.500
Pb1 0.790 0.290 0.500
Ir2 0.014 0.014 0.000
K1 0.496 0.496 0.000

=====

[2]
Density functional theory data (GGA-PBE) for CeLu2H after structural relaxation.

Results
Crystal system   trigonal
Energy relative to the lowest polymorph listed for this composition   0.00 kJ/mol of atoms

Lattice parameters (Å, degrees): 3.316 3.316 9.406 79.85 79.85 60.00
Site moments in Bohr magnetons follow the coordinates.
Fractional coordinates of all 4 atoms:
H1 0.500 0.500 0.500  0.00
Ce1 0.000 0.000 0.000  -0.44
Lu1 0.118 0.118 0.645  0.01
Lu2 0.882 0.882 0.355  0.01

=====

[3]
Density functional theory data (GGA-PBE) for Li3Np3AlS8 after structural relaxation.

Results
Crystal system   monoclinic
Uncorrected energy   -6.67 eV/atom

Lattice parameters (Å, degrees): 7.776 7.773 7.589 120.81 90.25 119.99
Site moments in Bohr magnetons follow the coordinates.
Fractional coordinates of all 15 atoms:
S1 0.771 0.543 0.267  0.00
S2 0.771 0.995 0.267  0.00
Np1 0.500 0.000 0.500  -3.58
S3 0.229 0.005 0.733  0.00
S4 0.773 0.003 0.732  0.07
S5 0.750 0.503 0.755  0.03
Li1 0.000 0.000 0.000  0.00
S6 0.227 0.997 0.268  0.07
Np2 0.500 0.500 0.500  -3.58
Li2 0.000 0.500 0.000  0.00
S7 0.229 0.457 0.733  0.00
Np3 0.000 0.500 0.500  3.54
Li3 0.500 0.500 0.000  0.00
Al1 0.000 0.000 0.500  -0.01
S8 0.250 0.497 0.245  0.03

=====

[4]
Density functional theory data (GGA-PBE) for CsY3F10 after structural relaxation.

Results
Crystal system   cubic
Uncorrected energy   -6.73 eV/atom

Lattice parameters (Å, degrees): 8.367 8.367 8.367 60.00 60.00 60.00
Fractional coordinates of all 28 atoms:
F1 0.826 0.391 0.391
F2 0.391 0.391 0.826
F3 0.391 0.826 0.391
F4 0.000 0.327 0.673
Y1 0.260 0.740 0.260
Y2 0.740 0.740 0.260
F5 0.673 0.327 0.000
F6 0.174 0.609 0.609
Y3 0.260 0.260 0.740
F7 0.000 0.673 0.327
F8 0.609 0.609 0.609
Y4 0.740 0.260 0.740
Y5 0.740 0.260 0.260
F9 0.327 0.000 0.673
Cs1 0.750 0.750 0.750
Cs2 0.250 0.250 0.250
F10 0.000 0.327 0.000
F11 0.327 0.000 0.000
F12 0.609 0.609 0.174
F13 0.609 0.174 0.609
F14 0.391 0.391 0.391
F15 0.000 0.673 0.000
F16 0.673 0.000 0.000
Y6 0.260 0.740 0.740
F17 0.000 0.000 0.327
F18 0.673 0.000 0.327
F19 0.000 0.000 0.673
F20 0.327 0.673 0.000

=====

[5]
Density functional theory data (GGA-PBE) for Tb3Hg after structural relaxation.

Results
Formation enthalpy at 0 K   0.00 eV/atom
Crystal system   orthorhombic

Lattice parameters (Å, degrees): 3.533 3.515 10.028 90.00 90.00 90.00
Site moments in Bohr magnetons follow the coordinates.
Fractional coordinates of all 4 atoms:
Hg1 0.000 0.000 0.977  0.01
Tb1 0.500 0.000 0.718  0.02
Tb2 0.000 0.500 0.470  0.13
Tb3 0.500 0.500 0.168  0.25

=====

[6]
Density functional theory data (GGA-PBE) for Hg2Ge2S after structural relaxation.

Results
Crystal system   tetragonal
Energy relative to the lowest polymorph listed for this composition   0.00 kJ/mol of atoms

Lattice parameters (Å, degrees): 7.066 7.066 4.723 90.00 90.00 90.00
Fractional coordinates of all 10 atoms:
Hg1 0.656 0.844 0.500
Hg2 0.344 0.156 0.500
S1 0.500 0.500 0.000
Hg3 0.156 0.656 0.500
Ge1 0.680 0.180 0.000
Ge2 0.180 0.320 0.000
Ge3 0.820 0.680 0.000
Ge4 0.320 0.820 0.000
Hg4 0.844 0.344 0.500
S2 0.000 0.000 0.000

=====

[7]
Density functional theory data (GGA-PBE) for DyNi6 after structural relaxation.

Results
Formation enthalpy at 0 K   0.91 eV/atom
Crystal system   cubic
Energy relative to the lowest polymorph listed for this composition   108.29 kJ/mol of atoms

Lattice parameters (Å, degrees): 5.284 5.284 5.284 90.00 90.00 90.00
Site moments in Bohr magnetons follow the coordinates.
Fractional coordinates of all 7 atoms:
Ni1 0.197 0.500 0.500  0.77
Ni2 0.500 0.500 0.197  0.77
Ni3 0.803 0.500 0.500  0.77
Ni4 0.500 0.500 0.803  0.77
Ni5 0.500 0.197 0.500  0.77
Dy1 0.000 0.000 0.000  -0.03
Ni6 0.500 0.803 0.500  0.77

=====

[8]
Density functional theory data (GGA-PBE) for NdDy2Rh2 after structural relaxation.

Results
Formation enthalpy at 0 K   -0.59 eV/atom
Crystal system   orthorhombic
Energy relative to the lowest polymorph listed for this composition   0.00 kJ/mol of atoms

Lattice parameters (Å, degrees): 3.912 4.688 13.208 90.00 98.52 90.00
Fractional coordinates of all 10 atoms:
Rh1 0.531 0.750 0.062
Rh2 0.836 0.750 0.672
Nd1 0.364 0.250 0.727
Nd2 0.636 0.750 0.273
Dy1 0.052 0.250 0.103
Dy2 0.737 0.250 0.474
Dy3 0.948 0.750 0.897
Rh3 0.164 0.250 0.328
Dy4 0.263 0.750 0.526
Rh4 0.469 0.250 0.938

=====

Computed total magnetization (μB/atom) in order:
0.000; 0.134; 0.239; 0.017; 0.138; 0.000; 0.627; 0.000